Entry from Alexandria: crystalline DyScTi4 at its relaxed geometry (PBE).

Values from the calculation:
Formation energy from the elements in eV/atom: 0.24
Fermi-level density of states in states/eV per atom: 1.909
Raw total energy in eV/atom: -6.846

a b c (Å): 5.7002 5.7002 5.7002
angles (deg): 60.00 60.00 60.00
Last column: nearest neighbours and their distance in Å.
Fractional coordinates of all 6 atoms:
Ti 0.1216 0.6261 0.6261  6 Ti 2.82-2.88
Ti 0.6261 0.1216 0.6261  6 Ti 2.82-2.88
Ti 0.6261 0.6261 0.6261  6 Ti 2.82-2.88
Ti 0.6261 0.6261 0.1216  6 Ti 2.82-2.88
Dy 0.2500 0.2500 0.2500  12 Ti 3.34, 4 Sc 3.49
Sc 0.0000 0.0000 0.0000  12 Ti 3.34, 4 Dy 3.49

---

Entry from Alexandria: crystalline DyTmScTi at its relaxed geometry (PBE).

Values from the calculation:
Formation energy from the elements in eV/atom: 0.21
Fermi-level density of states in states/eV per atom: 2.080
Raw total energy in eV/atom: -5.612

a b c (Å): 5.2611 5.2611 5.2611
angles (deg): 60.00 60.00 60.00
Last column: nearest neighbours and their distance in Å.
Fractional coordinates of all 4 atoms:
Dy 0.5000 0.5000 0.5000  4 Ti 3.22, 4 Sc 3.22
Tm 0.0000 0.0000 0.0000  4 Sc 3.22, 4 Ti 3.22
Ti 0.2500 0.2500 0.2500  4 Dy 3.22, 4 Tm 3.22
Sc 0.7500 0.7500 0.7500  4 Dy 3.22, 4 Tm 3.22

---

Entry from Alexandria: crystalline DyScTl2 at its relaxed geometry (PBE).

Values from the calculation:
Formation energy from the elements in eV/atom: -0.30
Fermi-level density of states in states/eV per atom: 0.753
Raw total energy in eV/atom: -4.216

a b c (Å): 3.6874 3.6874 7.4407
angles (deg): 90.00 90.00 90.00
Last column: nearest neighbours and their distance in Å.
Fractional coordinates of all 4 atoms:
Tl 0.0000 0.0000 0.7649  4 Sc 3.14, 4 Dy 3.27, 1 Tl 3.50
Tl 0.0000 0.0000 0.2351  4 Sc 3.14, 4 Dy 3.27, 1 Tl 3.50
Sc 0.5000 0.5000 0.0000  8 Tl 3.14
Dy 0.5000 0.5000 0.5000  8 Tl 3.27

---

Entry from Alexandria: crystalline Dy6Sc12Tl at its relaxed geometry (PBE).

Values from the calculation:
Formation energy from the elements in eV/atom: 0.11
Fermi-level density of states in states/eV per atom: 1.921
Raw total energy in eV/atom: -5.462

a b c (Å): 8.0247 8.0247 8.0247
angles (deg): 93.40 93.40 93.40
Last column: nearest neighbours and their distance in Å.
Fractional coordinates of all 19 atoms:
Sc 0.4650 0.5320 0.2146  3 Sc 3.01-3.18, 2 Dy 3.12-3.35
Sc 0.1414 0.3693 0.0566  4 Sc 3.01-3.30, 1 Tl 3.11, 2 Dy 3.30-3.36
Sc 0.7854 0.5350 0.4680  3 Sc 3.01-3.18, 2 Dy 3.12-3.35
Sc 0.8586 0.6307 0.9434  4 Sc 3.01-3.30, 1 Tl 3.11, 2 Dy 3.30-3.36
Sc 0.4680 0.7854 0.5350  3 Sc 3.01-3.18, 2 Dy 3.12-3.35
Sc 0.5320 0.2146 0.4650  3 Sc 3.01-3.18, 2 Dy 3.12-3.35
Sc 0.6307 0.9434 0.8586  4 Sc 3.01-3.30, 1 Tl 3.11, 2 Dy 3.30-3.36
Sc 0.0566 0.1414 0.3693  4 Sc 3.01-3.30, 1 Tl 3.11, 2 Dy 3.30-3.36
Sc 0.2146 0.4650 0.5320  3 Sc 3.01-3.18, 2 Dy 3.12-3.35
Sc 0.5350 0.4680 0.7854  3 Sc 3.01-3.18, 2 Dy 3.12-3.35
Sc 0.3693 0.0566 0.1414  4 Sc 3.01-3.30, 1 Tl 3.11, 2 Dy 3.30-3.36
Sc 0.9434 0.8586 0.6307  4 Sc 3.01-3.30, 1 Tl 3.11, 2 Dy 3.30-3.36
Dy 0.1172 0.7353 0.2853  9 Sc 3.12-3.48, 1 Tl 3.35
Dy 0.7147 0.8828 0.2647  9 Sc 3.12-3.48, 1 Tl 3.35
Dy 0.2647 0.7147 0.8828  9 Sc 3.12-3.48, 1 Tl 3.35
Dy 0.2853 0.1172 0.7353  9 Sc 3.12-3.48, 1 Tl 3.35
Dy 0.7353 0.2853 0.1172  9 Sc 3.12-3.48, 1 Tl 3.35
Dy 0.8828 0.2647 0.7147  9 Sc 3.12-3.48, 1 Tl 3.35
Tl 0.0000 0.0000 0.0000  6 Sc 3.11, 6 Dy 3.35

---

Entry from Alexandria: crystalline Dy2ScTl at its relaxed geometry (PBE).

Values from the calculation:
Formation energy from the elements in eV/atom: 0.09
Fermi-level density of states in states/eV per atom: 1.045
Raw total energy in eV/atom: -4.387

a b c (Å): 3.4672 3.4672 11.8993
angles (deg): 81.62 81.62 60.00
Last column: nearest neighbours and their distance in Å.
Fractional coordinates of all 4 atoms:
Tl 0.0000 0.0000 0.0000  2 Dy 3.21, 6 Tl 3.47
Dy 0.0913 0.0913 0.7262  1 Tl 3.21, 3 Sc 3.32, 6 Dy 3.47
Dy 0.9087 0.9087 0.2738  1 Tl 3.21, 3 Sc 3.32, 6 Dy 3.47
Sc 0.5000 0.5000 0.5000  6 Dy 3.32, 6 Sc 3.47

---

Entry from Alexandria: crystalline Dy5Sc4Tl4 at its relaxed geometry (PBE).

Values from the calculation:
Formation energy from the elements in eV/atom: -0.25
Fermi-level density of states in states/eV per atom: 0.858
Raw total energy in eV/atom: -4.691

a b c (Å): 4.8016 8.9238 8.9238
angles (deg): 85.85 74.39 74.39
Last column: nearest neighbours and their distance in Å.
Fractional coordinates of all 13 atoms:
Tl 0.2460 0.6707 0.8373  3 Sc 3.00-3.07, 4 Dy 3.16-3.23
Tl 0.7540 0.3293 0.1627  3 Sc 3.00-3.07, 4 Dy 3.16-3.23
Tl 0.0833 0.1627 0.6707  3 Sc 3.00-3.07, 4 Dy 3.16-3.23
Tl 0.9167 0.8373 0.3293  3 Sc 3.00-3.07, 4 Dy 3.16-3.23
Dy 0.0000 0.0000 0.0000  4 Tl 3.16
Dy 0.6927 0.9186 0.6960  5 Tl 3.20-3.43, 1 Sc 3.50
Dy 0.6113 0.6960 0.0814  5 Tl 3.20-3.43, 1 Sc 3.50
Dy 0.3073 0.0814 0.3040  5 Tl 3.20-3.43, 1 Sc 3.50
Dy 0.3887 0.3040 0.9186  5 Tl 3.20-3.43, 1 Sc 3.50
Sc 0.4152 0.6815 0.4882  3 Tl 3.00-3.07, 5 Sc 3.13-3.26
Sc 0.5848 0.3185 0.5118  3 Tl 3.00-3.07, 5 Sc 3.13-3.26
Sc 0.0967 0.4882 0.3185  3 Tl 3.00-3.07, 5 Sc 3.13-3.26
Sc 0.9033 0.5118 0.6815  3 Tl 3.00-3.07, 5 Sc 3.13-3.26